DFT (PBE+U) results for a relaxed structure of Rb2Mn3MoF12.

The calculation puts the total energy at -5.678 eV/atom. The total moment is 51.00 Bohr magnetons per cell. The mass density is 3.45 Mg/m³.

The structure belongs to space group R-3m (No. 166, hexagonal axes); the cell edges are 7.5890, 7.5890 and 19.1251 Å and the angles 90.00°, 90.00° and 120.00°. The distinct sites, in fractional coordinates, are Rb at (0.0000, 0.0000, 0.1229), Mn at (0.0000, 0.5000, 0.0000), Mo at (0.0000, 0.0000, 0.5000), F at (0.0579, 0.5290, 0.1106) and F at (0.0763, 0.5382, 0.3513).